1.
Zn2HgAu: relaxed, PBE.

Results
E_form (kJ per mole of atoms): 4.81
VASP energy (eV/atom): -1.48
Crystal system: tetragonal

Cell: 4.2366 4.2366 18.1282 Å, 90.00 90.00 90.00°
Closest atoms and distances in Å follow each position.
Fractional positions:
Zn 0.2132 0.2500 0.1250  2 Au 2.66, 2 Hg 2.78, 2 Zn 2.78
Zn 0.2500 0.7132 0.3750  2 Au 2.66, 2 Hg 2.78, 2 Zn 2.78
Zn 0.2500 0.7868 0.8750  2 Au 2.66, 2 Hg 2.78, 2 Zn 2.78
Zn 0.2868 0.2500 0.6250  2 Au 2.66, 2 Hg 2.78, 2 Zn 2.78
Zn 0.7132 0.7500 0.6250  2 Au 2.66, 2 Hg 2.78, 2 Zn 2.78
Zn 0.7500 0.2132 0.8750  2 Au 2.66, 2 Hg 2.78, 2 Zn 2.78
Zn 0.7500 0.2868 0.3750  2 Au 2.66, 2 Hg 2.78, 2 Zn 2.78
Zn 0.7868 0.7500 0.1250  2 Au 2.66, 2 Hg 2.78, 2 Zn 2.78
Hg 0.0000 0.0000 0.5000  4 Zn 2.78, 4 Au 3.00
Hg 0.0000 0.5000 0.7500  4 Zn 2.78, 4 Au 3.00
Hg 0.5000 0.0000 0.2500  4 Zn 2.78, 4 Au 3.00
Hg 0.5000 0.5000 0.0000  4 Zn 2.78, 4 Au 3.00
Au 0.0000 0.0000 0.0000  4 Zn 2.66
Au 0.0000 0.5000 0.2500  4 Zn 2.66
Au 0.5000 0.0000 0.7500  4 Zn 2.66
Au 0.5000 0.5000 0.5000  4 Zn 2.66

=====

2.
Zn2HgAu: relaxed, PBE.

Results
E_form (kJ per mole of atoms): 3.15
VASP energy (eV/atom): -1.50
Crystal system: monoclinic

Cell: 5.6354 9.3119 3.2733 Å, 90.00 116.18 90.00°
Closest atoms and distances in Å follow each position.
Fractional positions:
Zn 0.2500 0.2500 0.0000  2 Hg 2.72, 2 Au 2.72, 2 Zn 2.82
Zn 0.2500 0.7500 0.0000  2 Hg 2.72, 2 Au 2.72, 2 Zn 2.82
Zn 0.7500 0.2500 0.0000  2 Hg 2.72, 2 Au 2.72, 2 Zn 2.82
Zn 0.7500 0.7500 0.0000  2 Hg 2.72, 2 Au 2.72, 2 Zn 2.82
Hg 0.0000 0.0000 0.0000  4 Zn 2.72, 2 Au 2.82
Hg 0.5000 0.5000 0.0000  4 Zn 2.72, 2 Au 2.82
Au 0.0000 0.5000 0.0000  4 Zn 2.72, 2 Hg 2.82
Au 0.5000 0.0000 0.0000  4 Zn 2.72, 2 Hg 2.82

=====

3.
ZnHgAu2: relaxed, PBE.

Results
E_form (kJ per mole of atoms): -0.13
VASP energy (eV/atom): -2.03
Crystal system: monoclinic

Cell: 10.0645 3.1939 4.7749 Å, 90.00 106.88 90.00°
Closest atoms and distances in Å follow each position.
Fractional positions:
Zn 0.0000 0.0000 0.0000  6 Au 2.70-2.93, 2 Hg 2.89
Zn 0.5000 0.5000 0.0000  6 Au 2.70-2.93, 2 Hg 2.89
Hg 0.2558 0.0000 0.7403  7 Au 2.88-3.09, 3 Zn 2.89-3.16, 2 Hg 3.19
Hg 0.7558 0.5000 0.7403  7 Au 2.88-3.09, 3 Zn 2.89-3.16, 2 Hg 3.19
Au 0.2225 0.5000 0.2167  2 Zn 2.70, 4 Hg 2.88-2.90, 1 Au 2.99
Au 0.4858 0.0000 0.4783  4 Zn 2.82-2.93, 3 Hg 2.93-3.09, 3 Au 2.99-3.03
Au 0.7225 0.0000 0.2167  2 Zn 2.70, 4 Hg 2.88-2.90, 1 Au 2.99
Au 0.9858 0.5000 0.4783  4 Zn 2.82-2.93, 3 Hg 2.93-3.09, 3 Au 2.99-3.03

=====

4.
ZnHgAu2: relaxed, PBE.

Results
E_form (kJ per mole of atoms): -0.12
VASP energy (eV/atom): -2.03
Crystal system: orthorhombic

Cell: 3.3369 4.7362 9.3111 Å, 90.00 90.00 90.00°
Closest atoms and distances in Å follow each position.
Fractional positions:
Zn 0.0000 0.0000 0.0000  4 Au 2.67, 4 Hg 2.90
Zn 0.5000 0.5000 0.5000  4 Au 2.67, 4 Hg 2.90
Hg 0.0000 0.0000 0.5000  4 Zn 2.90, 8 Au 3.07-3.15
Hg 0.5000 0.5000 0.0000  4 Zn 2.90, 8 Au 3.07-3.15
Au 0.0000 0.5000 0.2767  2 Zn 2.67, 4 Au 2.94
Au 0.0000 0.5000 0.7233  2 Zn 2.67, 4 Au 2.94
Au 0.5000 0.0000 0.2233  2 Zn 2.67, 4 Au 2.94
Au 0.5000 0.0000 0.7767  2 Zn 2.67, 4 Au 2.94

=====

5.
Zn2Hg2Au: relaxed, PBE.

Results
E_form (kJ per mole of atoms): 22.39
VASP energy (eV/atom): -1.05
Crystal system: tetragonal

Cell: 4.0983 4.0983 12.7853 Å, 90.00 90.00 90.00°
Closest atoms and distances in Å follow each position.
Fractional positions:
Zn 0.0000 0.0000 0.0931  1 Zn 2.38
Zn 0.0000 0.0000 0.9069  1 Zn 2.38
Zn 0.5000 0.5000 0.4069  1 Zn 2.38
Zn 0.5000 0.5000 0.5931  1 Zn 2.38
Hg 0.0000 0.5000 0.2500  4 Zn 2.87, 4 Hg 2.90
Hg 0.0000 0.5000 0.7500  4 Zn 2.87, 4 Hg 2.90
Hg 0.5000 0.0000 0.2500  4 Zn 2.87, 4 Hg 2.90
Hg 0.5000 0.0000 0.7500  4 Zn 2.87, 4 Hg 2.90
Au 0.0000 0.0000 0.5000  8 Zn 3.13
Au 0.5000 0.5000 0.0000  8 Zn 3.13

=====

6.
ZnHg2Au8: relaxed, PBE.

Results
E_form (kJ per mole of atoms): 7.40
VASP energy (eV/atom): -2.48
Crystal system: monoclinic

Cell: 7.0814 7.0814 5.3715 Å, 106.38 106.38 77.94°
Closest atoms and distances in Å follow each position.
Fractional positions:
Zn 0.0000 0.0000 0.0000  6 Au 2.67-2.73
Hg 0.1576 0.1576 0.6146  5 Au 2.84-3.14, 2 Zn 3.12-3.15
Hg 0.8424 0.8424 0.3854  5 Au 2.84-3.14, 2 Zn 3.12-3.15
Au 0.1371 0.6222 0.0215  1 Zn 2.67, 5 Au 2.74-2.86
Au 0.2660 0.2660 0.2094  1 Zn 2.73, 6 Au 2.76-2.95, 2 Hg 2.84-2.98
Au 0.3778 0.8629 0.9785  1 Zn 2.67, 5 Au 2.74-2.86
Au 0.4548 0.4548 0.7159  8 Au 2.76-3.01
Au 0.5452 0.5452 0.2841  8 Au 2.76-3.01
Au 0.6222 0.1371 0.0215  1 Zn 2.67, 5 Au 2.74-2.86
Au 0.7340 0.7340 0.7906  1 Zn 2.73, 6 Au 2.76-2.95, 2 Hg 2.84-2.98
Au 0.8629 0.3778 0.9785  1 Zn 2.67, 5 Au 2.74-2.86

=====

7.
ZnHg2Au2: relaxed, PBE.

Results
E_form (kJ per mole of atoms): 15.82
VASP energy (eV/atom): -1.52
Crystal system: tetragonal

Cell: 7.4314 7.4314 3.8007 Å, 90.00 90.00 90.00°
Closest atoms and distances in Å follow each position.
Fractional positions:
Zn 0.0000 0.0000 0.0000  4 Hg 2.78
Zn 0.5000 0.5000 0.0000  4 Hg 2.78
Hg 0.1640 0.3360 0.0000  2 Zn 2.78, 6 Au 2.82-2.94
Hg 0.3360 0.8360 0.0000  2 Zn 2.78, 6 Au 2.82-2.94
Hg 0.6640 0.1640 0.0000  2 Zn 2.78, 6 Au 2.82-2.94
Hg 0.8360 0.6640 0.0000  2 Zn 2.78, 6 Au 2.82-2.94
Au 0.1375 0.6375 0.5000  6 Hg 2.82-2.94, 1 Au 2.89
Au 0.3625 0.1375 0.5000  6 Hg 2.82-2.94, 1 Au 2.89
Au 0.6375 0.8625 0.5000  6 Hg 2.82-2.94, 1 Au 2.89
Au 0.8625 0.3625 0.5000  6 Hg 2.82-2.94, 1 Au 2.89

=====

8.
ZnHgAu2: relaxed, PBE.

Results
E_form (kJ per mole of atoms): -0.20
VASP energy (eV/atom): -2.03
Crystal system: orthorhombic

Cell: 3.4816 3.7481 5.7410 Å, 90.00 90.00 90.00°
Closest atoms and distances in Å follow each position.
Fractional positions:
Zn 0.0000 0.0000 0.0000  5 Au 2.71-2.82, 4 Hg 3.02
Hg 0.5000 0.5000 0.7212  6 Au 2.80-2.95, 4 Zn 3.02
Au 0.0000 0.0000 0.4715  1 Zn 2.71, 4 Hg 2.93, 4 Au 2.97
Au 0.5000 0.5000 0.2082  2 Hg 2.80-2.95, 4 Zn 2.82, 4 Au 2.97

=====

9.
ZnHgAu2: relaxed, PBE.

Results
E_form (kJ per mole of atoms): 1.49
VASP energy (eV/atom): -2.02
Crystal system: monoclinic

Cell: 3.0359 4.6284 5.3455 Å, 90.00 97.97 90.00°
Closest atoms and distances in Å follow each position.
Fractional positions:
Zn 0.0000 0.0000 0.0000  5 Au 2.72-2.93, 2 Hg 2.92, 2 Zn 3.04
Hg 0.4935 0.5000 0.7888  5 Au 2.88-3.03, 4 Zn 2.92-3.06, 2 Hg 3.04
Au 0.0749 0.5000 0.2709  2 Zn 2.72, 3 Hg 2.88-3.03, 6 Au 2.95-3.04
Au 0.6232 0.0000 0.4651  3 Zn 2.88-2.93, 2 Hg 2.95, 6 Au 2.95-3.04

=====

10.
Zn2HgAu: relaxed, PBE.

Results
E_form (kJ per mole of atoms): 4.69
VASP energy (eV/atom): -1.48
Crystal system: trigonal

Cell: 3.2266 3.2266 25.1191 Å, 90.00 90.00 120.00°
Closest atoms and distances in Å follow each position.
Fractional positions:
Zn 0.0000 0.0000 0.0000  3 Zn 2.63, 3 Au 2.67
Zn 0.0000 0.0000 0.2593  3 Zn 2.63, 3 Hg 2.88
Zn 0.3333 0.6667 0.6667  3 Zn 2.63, 3 Au 2.67
Zn 0.3333 0.6667 0.9259  3 Zn 2.63, 3 Hg 2.88
Zn 0.6667 0.3333 0.3333  3 Zn 2.63, 3 Au 2.67
Zn 0.6667 0.3333 0.5926  3 Zn 2.63, 3 Hg 2.88
Hg 0.0000 0.0000 0.5052  3 Zn 2.88, 3 Au 3.04
Hg 0.3333 0.6667 0.1719  3 Zn 2.88, 3 Au 3.04
Hg 0.6667 0.3333 0.8386  3 Zn 2.88, 3 Au 3.04
Au 0.0000 0.0000 0.7430  3 Zn 2.67
Au 0.3333 0.6667 0.4097  3 Zn 2.67
Au 0.6667 0.3333 0.0764  3 Zn 2.67

=====

11.
ZnHgAu2: relaxed, PBE.

Results
E_form (kJ per mole of atoms): 6.12
VASP energy (eV/atom): -1.97
Crystal system: trigonal

Cell: 3.0922 3.0922 27.3316 Å, 90.00 90.00 120.00°
Closest atoms and distances in Å follow each position.
Fractional positions:
Zn 0.0000 0.0000 0.0000  3 Au 2.66
Zn 0.3333 0.6667 0.6667  3 Au 2.66
Zn 0.6667 0.3333 0.3333  3 Au 2.66
Hg 0.0000 0.0000 0.2456  3 Zn 2.99, 3 Au 3.02, 6 Hg 3.09
Hg 0.3333 0.6667 0.9123  3 Zn 2.99, 3 Au 3.02, 6 Hg 3.09
Hg 0.6667 0.3333 0.5789  3 Zn 2.99, 3 Au 3.02, 6 Hg 3.09
Au 0.0000 0.0000 0.4898  9 Au 2.92-3.09, 3 Hg 3.02
Au 0.0000 0.0000 0.7387  3 Zn 2.66, 3 Au 2.92
Au 0.3333 0.6667 0.1565  9 Au 2.92-3.09, 3 Hg 3.02
Au 0.3333 0.6667 0.4053  3 Zn 2.66, 3 Au 2.92
Au 0.6667 0.3333 0.0720  3 Zn 2.66, 3 Au 2.92
Au 0.6667 0.3333 0.8231  9 Au 2.92-3.09, 3 Hg 3.02

=====

12.
Zn2Hg2Au: relaxed, PBE.

Results
E_form (kJ per mole of atoms): 5.05
VASP energy (eV/atom): -1.23
Crystal system: tetragonal

Cell: 6.9013 6.9013 4.2536 Å, 90.00 90.00 90.00°
Closest atoms and distances in Å follow each position.
Fractional positions:
Zn 0.1356 0.3644 0.0000  1 Zn 2.65, 2 Au 2.68, 2 Hg 2.82
Zn 0.3644 0.8644 0.0000  1 Zn 2.65, 2 Au 2.68, 2 Hg 2.82
Zn 0.6356 0.1356 0.0000  1 Zn 2.65, 2 Au 2.68, 2 Hg 2.82
Zn 0.8644 0.6356 0.0000  1 Zn 2.65, 2 Au 2.68, 2 Hg 2.82
Hg 0.1745 0.6745 0.5000  6 Zn 2.82-3.03
Hg 0.3255 0.1745 0.5000  6 Zn 2.82-3.03
Hg 0.6745 0.8255 0.5000  6 Zn 2.82-3.03
Hg 0.8255 0.3255 0.5000  6 Zn 2.82-3.03
Au 0.0000 0.0000 0.0000  4 Zn 2.68
Au 0.5000 0.5000 0.0000  4 Zn 2.68

=====

13.
Zn2HgAu: relaxed, PBE.

Results
E_form (kJ per mole of atoms): -1.10
VASP energy (eV/atom): -1.54
Crystal system: monoclinic

Cell: 9.1459 3.5287 4.6322 Å, 90.00 102.76 90.00°
Closest atoms and distances in Å follow each position.
Fractional positions:
Zn 0.0000 0.0000 0.0000  3 Hg 2.69-2.93, 2 Au 2.73, 3 Zn 2.88-2.92
Zn 0.2460 0.5000 0.2724  3 Au 2.70-2.76, 3 Zn 2.88-2.92, 4 Hg 2.90-2.92
Zn 0.5000 0.5000 0.0000  3 Hg 2.69-2.93, 2 Au 2.73, 3 Zn 2.88-2.92
Zn 0.7460 0.0000 0.2724  3 Au 2.70-2.76, 3 Zn 2.88-2.92, 4 Hg 2.90-2.92
Hg 0.2447 0.0000 0.7688  7 Zn 2.69-2.93, 1 Au 2.91
Hg 0.7447 0.5000 0.7688  7 Zn 2.69-2.93, 1 Au 2.91
Au 0.4817 0.0000 0.4417  5 Zn 2.70-2.76, 1 Hg 2.91
Au 0.9817 0.5000 0.4417  5 Zn 2.70-2.76, 1 Hg 2.91